[1]
First-principles (PBE) data for AgPd5Se after structural relaxation, as listed in Alexandria via LeMat-Bulk.

a b c (Å): 4.049 4.049 7.121
angles (deg): 90.00 90.00 90.00
Space group P4/mmm (No. 123)
Asymmetric unit:
Ag (0.000, 0.000, 0.000) [1 per cell]
Pd (0.000, 0.500, 0.284) [4 per cell]
Pd (0.500, 0.500, 0.000) [1 per cell]
Se (0.500, 0.500, 0.500) [1 per cell]

Properties
The theoretical density is 10.2 g/cm3. Its formation energy from raw total energies is -0.116 eV/atom.

---

[2]
First-principles (PBE) data for Na3HfNp2Se6 after structural relaxation, as listed in Alexandria via LeMat-Bulk.

a b c (Å): 7.042 12.204 7.430
angles (deg): 90.00 108.51 90.00
Space group C2/m (No. 12)
Asymmetric unit:
Na (0.000, 0.000, 0.000) [2 per cell]
Na (0.000, 0.331, 0.000) [4 per cell]
Hf (0.000, 0.500, 0.500) [2 per cell]
Np (0.000, 0.167, 0.500) [4 per cell]
Se (0.234, 0.342, 0.729) [8 per cell]
Se (0.239, 0.500, 0.272) [4 per cell]

Properties
The theoretical density is 6.6 g/cm3. Its formation energy from raw total energies is -1.214 eV/atom.